! Pr8CuOs2, relaxed, DFT PBE; values from VASP
&SYSTEM
  ibrav = 0, nat = 11, ntyp = 3
/
ATOMIC_SPECIES
Pr 140.91 Pr.upf
Cu 63.55 Cu.upf
Os 190.23 Os.upf
ATOMIC_POSITIONS crystal
Pr 0.370 0.925 0.657
Pr 0.186 0.367 0.367
Pr 0.986 0.785 0.212
Pr 0.986 0.212 0.785
Pr 0.782 0.642 0.642
Pr 0.593 0.083 0.350
Pr 0.370 0.657 0.925
Pr 0.593 0.350 0.083
Cu 0.172 0.006 0.006
Os 0.481 0.693 0.316
Os 0.481 0.316 0.693
CELL_PARAMETERS angstrom
-2.955 -2.138 5.221
2.384 -6.712 -3.134
5.813 4.052 3.217
! symmetry	Cm
! crystal system	monoclinic
! M_tot	0.0	Bohr magnetons per cell
! electronic total energy	-5.86	eV per atom